(1)
# La3SnSe6 | Alexandria | GGA-PBE | optimized geometry
# Final energy (eV per atom): -5.555
# Symmetry: Cmc2_1, No. 36
data_La3SnSe6
_chemical_formula_sum 'La6 Sn2 Se12'
_space_group_name_H-M_alt 'P 1'
_space_group_IT_number 1
_cell_length_a 9.360
_cell_length_b 9.360
_cell_length_c 7.288
_cell_angle_alpha 90.00
_cell_angle_beta 90.00
_cell_angle_gamma 102.82
loop_
_space_group_symop_operation_xyz
'x,y,z'
loop_
_atom_site_label
_atom_site_fract_x
_atom_site_fract_y
_atom_site_fract_z
La1 0.099 0.901 0.500
La2 0.215 0.412 0.421
La3 0.412 0.215 0.921
La4 0.588 0.785 0.421
La5 0.785 0.588 0.921
La6 0.901 0.099 0.000
Sn1 0.303 0.697 0.880
Sn2 0.697 0.303 0.380
Se1 0.058 0.593 0.687
Se2 0.134 0.188 0.711
Se3 0.188 0.134 0.211
Se4 0.280 0.720 0.263
Se5 0.407 0.942 0.687
Se6 0.471 0.529 0.712
Se7 0.529 0.471 0.212
Se8 0.593 0.058 0.187
Se9 0.720 0.280 0.763
Se10 0.812 0.866 0.711
Se11 0.866 0.812 0.211
Se12 0.942 0.407 0.187

(2)
# Pu2PaO6 | Alexandria | GGA-PBE | optimized geometry
# Final energy (eV per atom): -10.931
# Symmetry: Immm, No. 71
# ΔE to the lowest computed polymorph (meV/atom): 0
data_Pu2PaO6
_chemical_formula_sum 'Pu2 Pa1 O6'
_space_group_name_H-M_alt 'P 1'
_space_group_IT_number 1
_cell_length_a 6.662
_cell_length_b 6.662
_cell_length_c 6.662
_cell_angle_alpha 146.58
_cell_angle_beta 131.82
_cell_angle_gamma 59.90
loop_
_space_group_symop_operation_xyz
'x,y,z'
loop_
_atom_site_label
_atom_site_fract_x
_atom_site_fract_y
_atom_site_fract_z
Pu1 0.168 0.168 0.000
Pu2 0.832 0.832 0.000
Pa1 0.500 0.500 0.000
O1 0.092 0.338 0.754
O2 0.259 0.000 0.259
O3 0.417 0.662 0.754
O4 0.583 0.338 0.246
O5 0.741 0.000 0.741
O6 0.908 0.662 0.246

(3)
# BaNd2Zn | Alexandria | GGA-PBE | optimized geometry
# Final energy (eV per atom): -3.045
# Symmetry: R-3m, No. 166
# Formation energy from the elements (eV per atom): 0.138
# ΔE to the lowest computed polymorph (meV/atom): 190
data_BaNd2Zn
_chemical_formula_sum 'Ba1 Nd2 Zn1'
_space_group_name_H-M_alt 'P 1'
_space_group_IT_number 1
_cell_length_a 11.991
_cell_length_b 11.991
_cell_length_c 11.991
_cell_angle_alpha 18.17
_cell_angle_beta 18.17
_cell_angle_gamma 18.17
loop_
_space_group_symop_operation_xyz
'x,y,z'
loop_
_atom_site_label
_atom_site_fract_x
_atom_site_fract_y
_atom_site_fract_z
Ba1 0.000 0.000 0.000
Nd1 0.106 0.106 0.106
Nd2 0.894 0.894 0.894
Zn1 0.500 0.500 0.500

(4)
# KBe2Tl | Alexandria | GGA-PBE | optimized geometry
# Final energy (eV per atom): -1.642
# Symmetry: C2/m, No. 12
# Formation energy from the elements (eV per atom): 1.087
# ΔE to the lowest computed polymorph (meV/atom): 693
data_KBe2Tl
_chemical_formula_sum 'K1 Be2 Tl1'
_space_group_name_H-M_alt 'P 1'
_space_group_IT_number 1
_cell_length_a 5.871
_cell_length_b 5.871
_cell_length_c 2.944
_cell_angle_alpha 100.04
_cell_angle_beta 100.04
_cell_angle_gamma 110.61
loop_
_space_group_symop_operation_xyz
'x,y,z'
loop_
_atom_site_label
_atom_site_fract_x
_atom_site_fract_y
_atom_site_fract_z
K1 0.000 0.000 0.000
Be1 0.000 0.500 0.500
Be2 0.500 0.000 0.500
Tl1 0.500 0.500 0.000

(5)
# CaInPb2 | Alexandria | GGA-PBE | optimized geometry
# Final energy (eV per atom): -3.249
# Symmetry: F-43m, No. 216
# Formation energy from the elements (eV per atom): -0.210
data_CaInPb2
_chemical_formula_sum 'Ca1 In1 Pb2'
_space_group_name_H-M_alt 'P 1'
_space_group_IT_number 1
_cell_length_a 5.553
_cell_length_b 5.553
_cell_length_c 5.553
_cell_angle_alpha 60.00
_cell_angle_beta 60.00
_cell_angle_gamma 60.00
loop_
_space_group_symop_operation_xyz
'x,y,z'
loop_
_atom_site_label
_atom_site_fract_x
_atom_site_fract_y
_atom_site_fract_z
Ca1 0.000 0.000 0.000
In1 0.750 0.750 0.750
Pb1 0.250 0.250 0.250
Pb2 0.500 0.500 0.500

(6)
# SmHo2PaSb4 | Alexandria | GGA-PBE | optimized geometry
# Final energy (eV per atom): -5.941
# Symmetry: P2/m, No. 10
data_SmHo2PaSb4
_chemical_formula_sum 'Sm1 Ho2 Pa1 Sb4'
_space_group_name_H-M_alt 'P 1'
_space_group_IT_number 1
_cell_length_a 7.591
_cell_length_b 4.390
_cell_length_c 7.618
_cell_angle_alpha 90.00
_cell_angle_beta 109.36
_cell_angle_gamma 90.00
loop_
_space_group_symop_operation_xyz
'x,y,z'
loop_
_atom_site_label
_atom_site_fract_x
_atom_site_fract_y
_atom_site_fract_z
Sm1 0.000 0.000 0.000
Ho1 0.500 0.000 0.500
Ho2 0.500 0.500 0.000
Pa1 0.000 0.500 0.500
Sb1 0.253 0.000 0.749
Sb2 0.254 0.500 0.255
Sb3 0.746 0.500 0.745
Sb4 0.747 0.000 0.251

(7)
# Cs3AuIF | Alexandria | GGA-PBE | optimized geometry
# Final energy (eV per atom): -3.033
# Symmetry: P2_1/m, No. 11
data_Cs3AuIF
_chemical_formula_sum 'Cs6 Au2 I2 F2'
_space_group_name_H-M_alt 'P 1'
_space_group_IT_number 1
_cell_length_a 9.525
_cell_length_b 5.492
_cell_length_c 11.205
_cell_angle_alpha 90.00
_cell_angle_beta 114.63
_cell_angle_gamma 90.00
loop_
_space_group_symop_operation_xyz
'x,y,z'
loop_
_atom_site_label
_atom_site_fract_x
_atom_site_fract_y
_atom_site_fract_z
Cs1 0.006 0.250 0.240
Cs2 0.333 0.250 0.956
Cs3 0.350 0.750 0.616
Cs4 0.650 0.250 0.384
Cs5 0.667 0.750 0.044
Cs6 0.994 0.750 0.760
Au1 0.065 0.250 0.573
Au2 0.935 0.750 0.427
I1 0.295 0.750 0.220
I2 0.705 0.250 0.780
F1 0.341 0.750 0.869
F2 0.659 0.250 0.131

(8)
# CuSi2Hg | Alexandria | GGA-PBE | optimized geometry
# Final energy (eV per atom): -3.473
# Symmetry: R-3m, No. 166
data_CuSi2Hg
_chemical_formula_sum 'Cu1 Si2 Hg1'
_space_group_name_H-M_alt 'P 1'
_space_group_IT_number 1
_cell_length_a 10.302
_cell_length_b 10.302
_cell_length_c 10.302
_cell_angle_alpha 15.71
_cell_angle_beta 15.71
_cell_angle_gamma 15.71
loop_
_space_group_symop_operation_xyz
'x,y,z'
loop_
_atom_site_label
_atom_site_fract_x
_atom_site_fract_y
_atom_site_fract_z
Cu1 0.000 0.000 0.000
Si1 0.268 0.268 0.268
Si2 0.732 0.732 0.732
Hg1 0.500 0.500 0.500

(9)
# PrSmHoEr2 | Alexandria | GGA-PBE | optimized geometry
# Final energy (eV per atom): -4.262
# Symmetry: Cmcm, No. 63
# Formation energy from the elements (eV per atom): 0.379
data_PrSmHoEr2
_chemical_formula_sum 'Pr2 Sm2 Ho2 Er4'
_space_group_name_H-M_alt 'P 1'
_space_group_IT_number 1
_cell_length_a 7.130
_cell_length_b 7.130
_cell_length_c 7.181
_cell_angle_alpha 90.00
_cell_angle_beta 90.00
_cell_angle_gamma 107.77
loop_
_space_group_symop_operation_xyz
'x,y,z'
loop_
_atom_site_label
_atom_site_fract_x
_atom_site_fract_y
_atom_site_fract_z
Pr1 0.230 0.770 0.750
Pr2 0.770 0.230 0.250
Sm1 0.499 0.501 0.250
Sm2 0.501 0.499 0.750
Ho1 0.220 0.780 0.250
Ho2 0.780 0.220 0.750
Er1 0.187 0.187 0.000
Er2 0.187 0.187 0.500
Er3 0.813 0.813 0.000
Er4 0.813 0.813 0.500

(10)
# FeNi2Os | Alexandria | GGA-PBE | optimized geometry
# Final energy (eV per atom): -7.714
# Symmetry: P4mm, No. 99
# Formation energy from the elements (eV per atom): 0.100
# ΔE to the lowest computed polymorph (meV/atom): 34
data_FeNi2Os
_chemical_formula_sum 'Fe1 Ni2 Os1'
_space_group_name_H-M_alt 'P 1'
_space_group_IT_number 1
_cell_length_a 2.618
_cell_length_b 2.618
_cell_length_c 6.980
_cell_angle_alpha 90.00
_cell_angle_beta 90.00
_cell_angle_gamma 90.00
loop_
_space_group_symop_operation_xyz
'x,y,z'
loop_
_atom_site_label
_atom_site_fract_x
_atom_site_fract_y
_atom_site_fract_z
Fe1 0.000 0.000 0.000
Ni1 0.000 0.000 0.482
Ni2 0.500 0.500 0.238
Os1 0.500 0.500 0.742

(11)
# Pr3Sn2Pb | Alexandria | GGA-PBE | optimized geometry
# Final energy (eV per atom): -4.946
# Symmetry: R-3c, No. 167
# Formation energy from the elements (eV per atom): -0.604
# ΔE to the lowest computed polymorph (meV/atom): 0
data_Pr3Sn2Pb
_chemical_formula_sum 'Pr6 Sn4 Pb2'
_space_group_name_H-M_alt 'P 1'
_space_group_IT_number 1
_cell_length_a 8.219
_cell_length_b 8.219
_cell_length_c 8.219
_cell_angle_alpha 62.60
_cell_angle_beta 62.60
_cell_angle_gamma 62.60
loop_
_space_group_symop_operation_xyz
'x,y,z'
loop_
_atom_site_label
_atom_site_fract_x
_atom_site_fract_y
_atom_site_fract_z
Pr1 0.082 0.750 0.418
Pr2 0.250 0.582 0.918
Pr3 0.418 0.082 0.750
Pr4 0.582 0.918 0.250
Pr5 0.750 0.418 0.082
Pr6 0.918 0.250 0.582
Sn1 0.167 0.167 0.167
Sn2 0.333 0.333 0.333
Sn3 0.667 0.667 0.667
Sn4 0.833 0.833 0.833
Pb1 0.000 0.000 0.000
Pb2 0.500 0.500 0.500

(12)
# Sm3Tm3Sc2 | Alexandria | GGA-PBE | optimized geometry
# Final energy (eV per atom): -4.985
# Symmetry: Pmmm, No. 47
# Formation energy from the elements (eV per atom): 0.045
# ΔE to the lowest computed polymorph (meV/atom): 0
data_Sm3Tm3Sc2
_chemical_formula_sum 'Sm3 Tm3 Sc2'
_space_group_name_H-M_alt 'P 1'
_space_group_IT_number 1
_cell_length_a 4.943
_cell_length_b 4.973
_cell_length_c 9.731
_cell_angle_alpha 90.00
_cell_angle_beta 90.00
_cell_angle_gamma 90.00
loop_
_space_group_symop_operation_xyz
'x,y,z'
loop_
_atom_site_label
_atom_site_fract_x
_atom_site_fract_y
_atom_site_fract_z
Sm1 0.000 0.000 0.000
Sm2 0.000 0.000 0.500
Sm3 0.500 0.500 0.000
Tm1 0.000 0.500 0.252
Tm2 0.000 0.500 0.748
Tm3 0.500 0.500 0.500
Sc1 0.500 0.000 0.252
Sc2 0.500 0.000 0.748